Compound: InTcCl2
Source: Alexandria via LeMat-Bulk
Functional: PBE
Structure: optimized geometry

Unit cell a=3.299 b=3.299 c=9.523 alpha=90.00 beta=90.00 gamma=124.83
Element x y z (fractional)
1 In 0.000 0.000 0.000
2 Tc 0.000 0.000 0.500
3 Cl 0.500 0.500 0.304
4 Cl 0.500 0.500 0.696

Properties
The formation energy without anion corrections comes out at 7 meV/atom. The calculation puts the electronic total energy at -4.192 eV/atom. The calculation puts the distance to the lowest polymorph of the same formula at 0.289 eV per atom. The crystal system is orthorhombic. Its size of the total moment is 0.04 μB per atom.


Compound: LaNdRh
Source: Alexandria via LeMat-Bulk
Functional: PBE
Structure: optimized geometry

Unit cell a=7.107 b=7.107 c=7.107 alpha=90.00 beta=90.00 gamma=90.00
Element x y z (fractional)
1 La 0.168 0.168 0.168
2 La 0.332 0.832 0.668
3 La 0.668 0.332 0.832
4 La 0.832 0.668 0.332
5 Nd 0.168 0.332 0.668
6 Nd 0.332 0.668 0.168
7 Nd 0.668 0.168 0.332
8 Nd 0.832 0.832 0.832
9 Rh 0.002 0.998 0.498
10 Rh 0.498 0.002 0.998
11 Rh 0.502 0.502 0.502
12 Rh 0.998 0.498 0.002

Properties
The calculation puts the electronic total energy at -6.201 eV/atom. The calculation puts the distance to the lowest polymorph of the same formula at 0.000 eV per atom. The crystal system is cubic. The calculation puts the formation energy at -50 kJ per mole of atoms. Its size of the total moment is 0.00 μB per atom.


Compound: In2TcNi
Source: Alexandria via LeMat-Bulk
Functional: PBE
Structure: optimized geometry

Unit cell a=5.263 b=5.263 c=5.263 alpha=136.27 beta=136.27 gamma=63.57
Element x y z (fractional)
1 In 0.000 0.000 0.000
2 In 0.750 0.250 0.500
3 Tc 0.500 0.500 0.000
4 Ni 0.250 0.750 0.500

Properties
The calculation puts the electronic total energy at -5.113 eV/atom. The crystal system is tetragonal. The calculation puts the formation energy at 28 kJ per mole of atoms. Its size of the total moment is 0.42 μB per atom.


Compound: Ta2BeOs2
Source: Alexandria via LeMat-Bulk
Functional: PBE
Structure: optimized geometry

Unit cell a=7.393 b=7.393 c=3.063 alpha=90.00 beta=90.00 gamma=90.00
Element x y z (fractional)
1 Ta 0.160 0.340 0.000
2 Ta 0.340 0.840 0.000
3 Ta 0.660 0.160 0.000
4 Ta 0.840 0.660 0.000
5 Be 0.000 0.000 0.500
6 Be 0.500 0.500 0.500
7 Os 0.141 0.641 0.500
8 Os 0.359 0.141 0.500
9 Os 0.641 0.859 0.500
10 Os 0.859 0.359 0.500

Properties
The calculation puts the electronic total energy at -9.793 eV/atom. The crystal system is tetragonal. The calculation puts the formation energy at 18 kJ per mole of atoms. Its size of the total moment is 0.00 μB per atom.


Compound: TmPuCdIn
Source: Alexandria via LeMat-Bulk
Functional: PBE
Structure: optimized geometry

Unit cell a=5.310 b=5.310 c=5.310 alpha=60.00 beta=60.00 gamma=60.00
Element x y z (fractional)
1 Tm 0.000 0.000 0.000
2 Pu 0.500 0.500 0.500
3 Cd 0.750 0.750 0.750
4 In 0.250 0.250 0.250

Properties
The calculation puts the electronic total energy at -5.805 eV/atom. The crystal system is cubic. The calculation puts the formation energy at -18 kJ per mole of atoms. Its size of the total moment is 1.56 μB per atom.


Compound: RbTlSe2
Source: Alexandria via LeMat-Bulk
Functional: PBE
Structure: optimized geometry

Unit cell a=9.770 b=9.770 c=9.770 alpha=25.35 beta=25.35 gamma=25.35
Element x y z (fractional)
1 Rb 0.000 0.000 0.000
2 Tl 0.500 0.500 0.500
3 Se 0.113 0.113 0.113
4 Se 0.887 0.887 0.887

Properties
The formation energy without anion corrections comes out at -288 meV/atom. The calculation puts the electronic total energy at -2.863 eV/atom. The calculation puts the distance to the lowest polymorph of the same formula at 0.380 eV per atom. The crystal system is trigonal. Its size of the total moment is 0.00 μB per atom.


Compound: LaY2Pu
Source: Alexandria via LeMat-Bulk
Functional: PBE
Structure: optimized geometry

Unit cell a=5.858 b=5.858 c=3.796 alpha=90.00 beta=90.00 gamma=90.00
Element x y z (fractional)
1 La 0.000 0.000 0.000
2 Y 0.000 0.500 0.500
3 Y 0.500 0.000 0.500
4 Pu 0.500 0.500 0.000

Properties
The calculation puts the electronic total energy at -7.837 eV/atom. The calculation puts the distance to the lowest polymorph of the same formula at 0.090 eV per atom. The crystal system is tetragonal. The calculation puts the formation energy at 20 kJ per mole of atoms. Its size of the total moment is 1.63 μB per atom.


Compound: Ac4Te4Cl
Source: Alexandria via LeMat-Bulk
Functional: PBE
Structure: optimized geometry

Unit cell a=8.849 b=8.849 c=8.849 alpha=128.23 beta=128.23 gamma=76.25
Element x y z (fractional)
1 Ac 0.084 0.645 0.000
2 Ac 0.355 0.355 0.440
3 Ac 0.645 0.084 0.000
4 Ac 0.916 0.916 0.560
5 Te 0.000 0.500 0.500
6 Te 0.295 0.295 0.000
7 Te 0.500 0.000 0.500
8 Te 0.705 0.705 0.000
9 Cl 0.000 0.000 0.000

Properties
The formation energy without anion corrections comes out at -1298 meV/atom. The calculation puts the electronic total energy at -4.726 eV/atom. The crystal system is tetragonal. Its size of the total moment is 0.00 μB per atom.


Repeat the sixth record exactly.
Compound: RbTlSe2
Source: Alexandria via LeMat-Bulk
Functional: PBE
Structure: optimized geometry

Unit cell a=9.770 b=9.770 c=9.770 alpha=25.35 beta=25.35 gamma=25.35
Element x y z (fractional)
1 Rb 0.000 0.000 0.000
2 Tl 0.500 0.500 0.500
3 Se 0.113 0.113 0.113
4 Se 0.887 0.887 0.887

Properties
The formation energy without anion corrections comes out at -288 meV/atom. The calculation puts the electronic total energy at -2.863 eV/atom. The calculation puts the distance to the lowest polymorph of the same formula at 0.380 eV per atom. The crystal system is trigonal. Its size of the total moment is 0.00 μB per atom.


Q: size of the total moment of number 5 (TmPuCdIn)?
A: 1.56 μB per atom


Q: size of the total moment of number 8 (Ac4Te4Cl)?
A: 0.00 μB per atom